A relaxed structure of NaNdTl2Br6, computed with GGA-PBE.

a b c (Å): 8.0252 8.0246 8.1705
angles (deg): 60.57 60.56 59.98
Closest atoms and distances in Å follow each position.
Fractional coordinates of all 10 atoms:
Na  0.8162  0.8164  0.5511  6 Br 2.98-3.07
Nd  0.3204  0.3205  0.0386  6 Br 2.89-2.92
Tl  0.5344  0.5341  0.3973  6 Br 3.40-3.41
Tl  0.0298  0.0299  0.9107  6 Br 3.37-3.40
Br  0.5802  0.1657  0.2682  1 Nd 2.89, 1 Na 3.07
Br  0.1658  0.9858  0.2680  1 Nd 2.89, 1 Na 3.07
Br  0.9859  0.5804  0.2681  1 Nd 2.89, 1 Na 3.07
Br  0.4682  0.6628  0.7709  1 Nd 2.92, 1 Na 2.98
Br  0.6629  0.0977  0.7712  1 Nd 2.92, 1 Na 2.98
Br  0.0978  0.4684  0.7712  1 Nd 2.92, 1 Na 2.98

For the magnetic moment, the calculation gives 0.000 μB per formula unit. The value obtained for the density of states at the Fermi level is 0.0 states/eV/cell. For the density, the calculation gives 4.67 Mg/m³. The formation energy (no corrections) is -1.415 eV per atom. For the electronic total energy, the calculation gives -3.501 eV/atom.



A relaxed structure of La6CuCl8, computed with GGA-PBE.

a b c (Å): 7.1662 7.1662 11.0780
angles (deg): 71.13 71.13 60.00
Closest atoms and distances in Å follow each position.
Fractional coordinates of all 15 atoms:
La  0.9451  0.6140  0.1654  5 Cl 2.91-2.97, 1 Cu 2.92
La  0.7245  0.0549  0.8346  5 Cl 2.91-2.98, 1 Cu 2.92
La  0.3860  0.7245  0.8346  5 Cl 2.91-2.97, 1 Cu 2.92
La  0.6140  0.2755  0.1654  5 Cl 2.91-2.97, 1 Cu 2.92
La  0.2755  0.9451  0.1654  5 Cl 2.91-2.98, 1 Cu 2.92
La  0.0549  0.3860  0.8346  5 Cl 2.91-2.97, 1 Cu 2.92
Cu  0.0000  0.0000  0.0000  6 La 2.92
Cl  0.7819  0.4382  0.6695  3 La 2.91-2.97
Cl  0.8896  0.2181  0.3305  3 La 2.91-2.97
Cl  0.5618  0.8896  0.3305  3 La 2.91-2.98
Cl  0.3334  0.3334  0.9998  6 La 2.94
Cl  0.6666  0.6666  0.0002  6 La 2.94
Cl  0.4382  0.1104  0.6695  3 La 2.91-2.98
Cl  0.1104  0.7819  0.6695  3 La 2.91-2.97
Cl  0.2181  0.5618  0.3305  3 La 2.91-2.97

For the magnetic moment, the calculation gives 0.432 μB per formula unit. The value obtained for the density of states at the Fermi level is 8.1 states/eV/cell. For the density, the calculation gives 4.29 Mg/m³. The formation energy (no corrections) is -1.713 eV per atom. For the electronic total energy, the calculation gives -4.942 eV/atom.



A relaxed structure of TbPmMgBe, computed with GGA-PBE.

a b c (Å): 5.1540 5.1540 5.1540
angles (deg): 60.00 60.00 60.00
Closest atoms and distances in Å follow each position.
Fractional coordinates of all 4 atoms:
Be  0.0000  0.0000  0.0000  4 Pm 3.16, 4 Tb 3.16
Mg  0.5000  0.5000  0.5000  4 Pm 3.16, 4 Tb 3.16
Tb  0.2500  0.2500  0.2500  4 Be 3.16, 4 Mg 3.16
Pm  0.7500  0.7500  0.7500  4 Be 3.16, 4 Mg 3.16

For the magnetic moment, the calculation gives 0.000 μB per formula unit. The value obtained for the density of states at the Fermi level is 4.1 states/eV/cell. For the density, the calculation gives 5.78 Mg/m³. The calculation puts the formation enthalpy at 0 K at 0.100 eV per atom. For the electronic total energy, the calculation gives -3.575 eV/atom.



A relaxed structure of RbU2Au2Se6, computed with GGA-PBE.

a b c (Å): 7.5478 8.0596 8.2993
angles (deg): 123.46 90.61 60.72
Closest atoms and distances in Å follow each position.
Fractional coordinates of all 11 atoms:
Rb  0.5000  0.0000  0.5000  6 Se 3.29-3.41
U  0.8369  0.3310  0.8378  6 Se 2.80-2.86
U  0.1631  0.6690  0.1622  6 Se 2.80-2.86
Au  0.2109  0.7481  0.8130  3 Se 2.52-2.62
Au  0.7891  0.2519  0.1870  3 Se 2.52-2.62
Se  0.4169  0.7858  0.0591  1 Au 2.53, 1 U 2.82
Se  0.9828  0.4408  0.1720  1 Au 2.62, 2 U 2.80-2.81
Se  0.1922  0.8291  0.5583  1 Au 2.52
Se  0.0172  0.5592  0.8280  1 Au 2.62, 2 U 2.80-2.81
Se  0.8078  0.1709  0.4417  1 Au 2.52
Se  0.5831  0.2142  0.9409  1 Au 2.53, 1 U 2.82

For the magnetic moment, the calculation gives 3.000 μB per formula unit. The value obtained for the density of states at the Fermi level is 10.2 states/eV/cell. For the density, the calculation gives 6.91 Mg/m³. The formation energy (no corrections) is -0.784 eV per atom. For the electronic total energy, the calculation gives -5.421 eV/atom.



A relaxed structure of TlSn2Pb, computed with GGA-PBE.

a b c (Å): 5.0230 4.8488 4.8488
angles (deg): 90.00 90.00 90.00
Closest atoms and distances in Å follow each position.
Fractional coordinates of all 4 atoms:
Pb  0.5000  0.5000  0.5000  4 Tl 3.43, 8 Sn 3.49
Tl  0.5000  0.0000  0.0000  4 Pb 3.43, 8 Sn 3.49
Sn  0.0000  0.0000  0.5000  4 Sn 3.43, 4 Tl 3.49, 4 Pb 3.49
Sn  0.0000  0.5000  0.0000  4 Sn 3.43, 4 Tl 3.49, 4 Pb 3.49

For the magnetic moment, the calculation gives 0.000 μB per formula unit. The value obtained for the density of states at the Fermi level is 1.8 states/eV/cell. For the density, the calculation gives 9.13 Mg/m³. The calculation puts the formation enthalpy at 0 K at 0.045 eV per atom. For the electronic total energy, the calculation gives -3.475 eV/atom.



A relaxed structure of LiInCu, computed with GGA-PBE.

a b c (Å): 5.6421 4.4732 4.4725
angles (deg): 59.97 89.96 89.97
Closest atoms and distances in Å follow each position.
Fractional coordinates of all 6 atoms:
Cu  0.8962  0.7459  0.8787  3 Li 2.71, 5 In 2.74-2.90
Cu  0.5466  0.4127  0.5453  6 In 2.74-2.79, 2 Li 2.80-2.84
In  0.7333  0.0793  0.2120  2 Li 2.73-2.91, 6 Cu 2.74-2.79
In  0.3820  0.7460  0.8787  5 Cu 2.74-2.90, 3 Li 2.74
Li  0.2171  0.0794  0.2120  5 In 2.73-2.91, 3 Li 2.76
Li  0.0430  0.4126  0.5454  5 Cu 2.71-2.84, 3 Li 2.76

For the magnetic moment, the calculation gives 0.000 μB per formula unit. The value obtained for the density of states at the Fermi level is 1.7 states/eV/cell. For the density, the calculation gives 6.30 Mg/m³. The calculation puts the formation enthalpy at 0 K at -0.135 eV per atom. For the electronic total energy, the calculation gives -3.051 eV/atom.